LiPAu2 after structural relaxation, computed with PBEsol.

For the formation enthalpy at 0 K, the calculation gives -124 meV/atom.

a = 5.3251 Å, b = 5.3251 Å, c = 2.7893 Å
α = 103.64°, β = 103.64°, γ = 116.91°
Last column: nearest neighbours and their distance in Å.
Element x y z (fractional)
Li1 0.0000 0.0000 0.0000  4 Au 2.66, 4 P 2.79-2.92, 2 Li 2.79
P1 0.5000 0.5000 0.0000  4 Au 2.66, 4 Li 2.79-2.92, 2 P 2.79
Au1 0.0000 0.5000 0.0000  2 Li 2.66, 2 P 2.66, 6 Au 2.79-2.92
Au2 0.5000 0.0000 0.0000  2 Li 2.66, 2 P 2.66, 6 Au 2.79-2.92

LiPAu2 after structural relaxation, computed with PBEsol.

For the formation enthalpy at 0 K, the calculation gives -208 meV/atom.

a = 2.8026 Å, b = 4.1915 Å, c = 5.4651 Å
α = 90.00°, β = 90.08°, γ = 90.00°
Last column: nearest neighbours and their distance in Å.
Element x y z (fractional)
Li1 0.0000 0.0000 0.0000  2 Li 2.80, 8 Au 2.85, 4 P 3.07
P1 0.5000 0.0000 0.5000  4 Au 2.52, 2 P 2.80
Au1 0.4998 0.5000 0.2432  2 P 2.52, 4 Au 2.66-2.81
Au2 0.5002 0.5000 0.7568  2 P 2.52, 4 Au 2.66-2.81

Li2PAu after structural relaxation, computed with PBEsol.

For the formation enthalpy at 0 K, the calculation gives -354 meV/atom.

a = 8.4879 Å, b = 8.4879 Å, c = 8.4879 Å
α = 19.14°, β = 19.14°, γ = 19.14°
Last column: nearest neighbours and their distance in Å.
Element x y z (fractional)
Li1 0.2438 0.2438 0.2438  3 P 2.52, 3 Au 2.77, 6 Li 2.82
Li2 0.7562 0.7562 0.7562  3 P 2.52, 3 Au 2.77, 6 Li 2.82
P1 0.5000 0.5000 0.5000  6 Li 2.52, 6 P 2.82
Au1 0.0000 0.0000 0.0000  6 Li 2.77, 6 Au 2.82

We obtain ρ values of 11.390, 11.170, 6.991 g cm⁻³ for the records listed above, in that order.